A relaxed structure of Ca2GaTeO6. Source: Alexandria, functional GGA-PBE.

The space group is P4mm (No. 99) and the conventional cell measures 5.371, 5.371 and 4.905 Å, with angles of 90.00, 90.00 and 90.00 degrees. The inequivalent atoms are Ca at (0.000, 0.500, 0.000), Ga at (0.000, 0.000, 0.555), Te at (0.500, 0.500, 0.586), O at (0.000, 0.000, 0.184), O at (0.246, 0.246, 0.700) and O at (0.500, 0.500, 0.193).

The mass density is 4.38 Mg/m³. For the spin magnetization, the calculation gives 0.00 Bohr magnetons per cell. Its electronic total energy is -59.2 eV for the cell shown.